Below is a relaxed Pm6Pt3O crystal, with properties calculated at the PBE-GGA level.

Calculated values
Calculated volume (Å³ per atom): 25.5
Formation energy (no corrections) (eV per atom): -1.248
Theoretical density (g/cm3): 9.568

Cell: 6.6962 7.3967 10.3130 Å, 90.00 91.17 90.00°
With the nearest neighbours (Å) after each atom.
Positions (direct):
Pm1 0.6912 0.1669 0.9303  1 O 2.50
Pm2 0.6535 0.1923 0.5684  1 O 2.59, 1 Pt 2.82
Pm3 0.6501 0.4592 0.2624  1 O 2.68, 3 Pt 2.88-2.96
Pm4 0.3499 0.5408 0.7376  1 O 2.68, 3 Pt 2.88-2.96
Pm5 0.3465 0.8077 0.4316  1 O 2.59, 1 Pt 2.82
Pm6 0.3088 0.8331 0.0697  1 O 2.50
Pm7 0.1912 0.3331 0.4303  1 O 2.50
Pm8 0.1535 0.3077 0.0684  1 O 2.59, 1 Pt 2.82
Pm9 0.1501 0.0408 0.7624  1 O 2.68, 3 Pt 2.88-2.96
Pm10 0.8499 0.9592 0.2376  1 O 2.68, 3 Pt 2.88-2.96
Pm11 0.8465 0.6923 0.9316  1 O 2.59, 1 Pt 2.82
Pm12 0.8088 0.6669 0.5697  1 O 2.50
Pt1 0.5580 0.8907 0.7399  6 Pm 2.93-3.10
Pt2 0.5000 0.5000 0.0000  6 Pm 2.82-2.88
Pt3 0.4420 0.1093 0.2601  6 Pm 2.93-3.10
Pt4 0.0580 0.6093 0.2399  6 Pm 2.93-3.10
Pt5 0.0000 0.0000 0.5000  6 Pm 2.82-2.88
Pt6 0.9420 0.3907 0.7601  6 Pm 2.93-3.10
O1 0.5000 0.5000 0.5000  6 Pm 2.50-2.68
O2 0.0000 0.0000 0.0000  6 Pm 2.50-2.68